Material: TlPbI2
Method: DFT, GGA-PBE
State: optimized geometry

a = 6.421 Å, b = 6.421 Å, c = 10.804 Å
α = 72.71°, β = 72.71°, γ = 90.00°
Sites, in units of the cell vectors:
Pb 0.000 0.000 0.000
Pb 0.750 0.250 0.500
I 0.652 0.125 0.250
I 0.098 0.625 0.250
I 0.375 0.348 0.750
I 0.875 0.902 0.750
Tl 0.500 0.500 0.000
Tl 0.250 0.750 0.500

calculated volume: 202.08 Å³/f.u.
M_tot: 0.000 μB/atom
uncorrected formation energy: -0.243 eV per atom

---

Material: TlPbI2
Method: DFT, GGA-PBE
State: optimized geometry

a = 5.844 Å, b = 5.844 Å, c = 5.844 Å
α = 60.00°, β = 60.00°, γ = 60.00°
Sites, in units of the cell vectors:
Pb 0.500 0.500 0.500
I 0.250 0.250 0.250
I 0.750 0.750 0.750
Tl 0.000 0.000 0.000

calculated volume: 141.11 Å³/f.u.
M_tot: 0.000 μB/atom
uncorrected formation energy: -0.318 eV per atom